(i)
VASP calculation (GGA-PBE) on crystalline RbNaP at its relaxed geometry.

Computed properties:
space-group type = No. 8

abc: 6.6166 6.6166 9.8829
angles: 123.94 123.94 38.85
With the nearest neighbours (Å) after each atom.
Element x y z (fractional)
Rb: 0.0000 0.0000 0.0000  5 P 3.45-3.63, 1 Na 3.54
Rb: 0.6153 0.6153 0.7122  3 P 3.49-3.57, 1 Rb 3.87
Na: 0.1956 0.1956 0.4437  2 P 2.90
Na: 0.8393 0.8393 0.2584  4 P 2.91-2.94
P: 0.3116 0.3116 0.0471  1 P 2.18
P: 0.5078 0.5078 0.2873  1 P 2.18

***

(ii)
VASP calculation (GGA-PBE) on crystalline RbNaP at its relaxed geometry.

Computed properties:
space-group type = No. 8

abc: 6.5203 6.5203 7.2567
angles: 117.13 117.13 44.31
With the nearest neighbours (Å) after each atom.
Element x y z (fractional)
Rb: 0.0000 0.0000 0.0000  2 Na 3.30-3.68, 1 Rb 3.46, 5 P 3.50-3.57
Rb: 0.2411 0.2411 0.5218  1 Rb 3.46, 5 P 3.52-3.87, 4 Na 3.64-3.71
Na: 0.6561 0.6561 0.8146  3 P 2.89-3.04
Na: 0.8741 0.8741 0.3141  4 P 2.84-2.96
P: 0.3044 0.3044 0.0548  1 P 2.32
P: 0.5022 0.5022 0.3592  1 P 2.32

***

(iii)
VASP calculation (GGA-PBE) on crystalline RbNaP at its relaxed geometry.

Computed properties:
space-group type = No. 44

abc: 8.0615 8.0615 8.0615
angles: 142.76 53.69 142.76
With the nearest neighbours (Å) after each atom.
Element x y z (fractional)
Rb: 0.1887 0.0000 0.1887  1 P 3.26
Rb: 0.8113 0.0000 0.8113  1 P 3.26
Na: 0.0031 0.5031 0.5000  4 P 2.85
Na: 0.5018 0.5018 0.0000  4 P 2.85
P: 0.4187 0.0030 0.4156  1 P 2.43
P: 0.5874 0.0030 0.5844  1 P 2.43

***

(iii) is preferred energetically. Next in line: 0.033 eV/atom higher.